1.
{"formula": "TlAg2Ir", "functional": "GGA-PBE", "state": "optimized geometry", "cell": [[10.938, 0.000, 0.000], [0.000, 3.091, 0.000], [-1.670, 0.000, 4.406]], "species": ["Tl", "Tl", "Ag", "Ag", "Ag", "Ag", "Ir", "Ir"], "fractional_positions": [[0.000, 0.000, 0.000], [0.500, 0.500, 0.000], [0.234, 0.000, 0.734], [0.266, 0.500, 0.266], [0.734, 0.500, 0.734], [0.766, 0.000, 0.266], [0.000, 0.500, 0.500], [0.500, 0.000, 0.500]], "e_tot_ev_per_atom": -3.893, "volume_a3_per_atom": 18.6, "rho_g_cm3": 13.7, "formation_enthalpy_0k_ev_per_atom": 0.340, "dos_ef_per_ev_atom": 0.67, "relative_energy_ev_per_atom": 0.024, "sg": "C2/m"}

=====

2.
{"formula": "TlAgIr", "functional": "GGA-PBE", "state": "optimized geometry", "cell": [[3.073, 0.000, 0.000], [0.000, 4.107, 0.000], [0.000, 0.000, 8.751]], "species": ["Tl", "Tl", "Ag", "Ag", "Ir", "Ir"], "fractional_positions": [[0.000, 0.000, 0.000], [0.500, 0.500, 0.500], [0.000, 0.000, 0.323], [0.500, 0.500, 0.823], [0.000, 0.000, 0.661], [0.500, 0.500, 0.161]], "e_tot_ev_per_atom": -4.186, "volume_a3_per_atom": 18.4, "rho_g_cm3": 15.2, "formation_enthalpy_0k_ev_per_atom": 0.507, "dos_ef_per_ev_atom": 0.70, "relative_energy_ev_per_atom": 0.000, "sg": "Imm2"}

=====

3.
{"formula": "TlAgIr2", "functional": "GGA-PBE", "state": "optimized geometry", "cell": [[2.970, 0.000, 0.000], [-1.485, 2.572, 0.000], [0.000, 0.000, 27.179]], "species": ["Tl", "Tl", "Tl", "Ag", "Ag", "Ag", "Ir", "Ir", "Ir", "Ir", "Ir", "Ir"], "fractional_positions": [[0.000, 0.000, 0.000], [0.333, 0.667, 0.667], [0.667, 0.333, 0.333], [0.000, 0.000, 0.500], [0.333, 0.667, 0.167], [0.667, 0.333, 0.833], [0.000, 0.000, 0.250], [0.000, 0.000, 0.750], [0.333, 0.667, 0.416], [0.333, 0.667, 0.917], [0.667, 0.333, 0.083], [0.667, 0.333, 0.584]], "e_tot_ev_per_atom": -5.115, "volume_a3_per_atom": 17.3, "rho_g_cm3": 16.7, "formation_enthalpy_0k_ev_per_atom": 0.620, "dos_ef_per_ev_atom": 1.25, "relative_energy_ev_per_atom": 0.225, "sg": "R-3m"}

=====

4.
{"formula": "TlAgIr2", "functional": "GGA-PBE", "state": "optimized geometry", "cell": [[2.834, 0.000, 0.000], [0.000, 3.728, 0.000], [-1.290, 0.000, 7.322]], "species": ["Tl", "Ag", "Ir", "Ir"], "fractional_positions": [[0.000, 0.000, 0.000], [0.592, 0.500, 0.290], [0.203, 0.000, 0.541], [0.770, 0.500, 0.685]], "e_tot_ev_per_atom": -5.320, "volume_a3_per_atom": 19.3, "rho_g_cm3": 15.0, "formation_enthalpy_0k_ev_per_atom": 0.415, "dos_ef_per_ev_atom": 0.81, "relative_energy_ev_per_atom": 0.019, "sg": "Pm"}

=====

5.
{"formula": "Tm5Tl2AgIr2", "functional": "GGA-PBE", "state": "optimized geometry", "cell": [[11.736, 0.000, 0.000], [0.000, 11.736, 0.000], [0.000, 0.000, 3.594]], "species": ["Tm", "Tm", "Tm", "Tm", "Tm", "Tm", "Tm", "Tm", "Tm", "Tm", "Tl", "Tl", "Tl", "Tl", "Ag", "Ag", "Ir", "Ir", "Ir", "Ir"], "fractional_positions": [[0.000, 0.500, 0.000], [0.076, 0.202, 0.000], [0.202, 0.924, 0.000], [0.298, 0.424, 0.000], [0.424, 0.702, 0.000], [0.500, 0.000, 0.000], [0.576, 0.298, 0.000], [0.702, 0.576, 0.000], [0.798, 0.076, 0.000], [0.924, 0.798, 0.000], [0.171, 0.671, 0.500], [0.329, 0.171, 0.500], [0.671, 0.829, 0.500], [0.829, 0.329, 0.500], [0.000, 0.000, 0.500], [0.500, 0.500, 0.500], [0.133, 0.367, 0.500], [0.367, 0.867, 0.500], [0.633, 0.133, 0.500], [0.867, 0.633, 0.500]], "e_tot_ev_per_atom": -5.294, "volume_a3_per_atom": 24.7, "rho_g_cm3": 11.7, "formation_enthalpy_0k_ev_per_atom": -0.528, "dos_ef_per_ev_atom": 0.41, "sg": "P4/mbm"}

=====

6.
{"formula": "Tm4AgIr2", "functional": "GGA-PBE", "state": "optimized geometry", "cell": [[4.285, -6.267, 0.000], [4.285, 6.267, 0.000], [-4.265, 0.000, 5.965]], "species": ["Tm", "Tm", "Tm", "Tm", "Tm", "Tm", "Tm", "Tm", "Ag", "Ag", "Ir", "Ir", "Ir", "Ir"], "fractional_positions": [[0.004, 0.996, 0.500], [0.122, 0.643, 0.270], [0.376, 0.532, 0.627], [0.532, 0.376, 0.127], [0.533, 0.887, 0.142], [0.643, 0.122, 0.770], [0.887, 0.533, 0.642], [0.996, 0.004, 0.000], [0.149, 0.396, 0.894], [0.396, 0.149, 0.394], [0.267, 0.896, 0.768], [0.633, 0.756, 0.496], [0.756, 0.633, 0.996], [0.896, 0.267, 0.268]], "e_tot_ev_per_atom": -6.145, "volume_a3_per_atom": 22.9, "rho_g_cm3": 12.1, "formation_enthalpy_0k_ev_per_atom": -0.651, "dos_ef_per_ev_atom": 0.55, "relative_energy_ev_per_atom": 0.066, "sg": "Cc"}

=====

7.
{"formula": "Tm6AgIr2", "functional": "GGA-PBE", "state": "optimized geometry", "cell": [[6.585, 0.000, 0.000], [0.000, 7.099, 0.000], [-5.700, 0.000, 9.976]], "species": ["Tm", "Tm", "Tm", "Tm", "Tm", "Tm", "Tm", "Tm", "Tm", "Tm", "Tm", "Tm", "Ag", "Ag", "Ir", "Ir", "Ir", "Ir"], "fractional_positions": [[0.076, 0.185, 0.430], [0.076, 0.315, 0.930], [0.224, 0.658, 0.411], [0.224, 0.842, 0.911], [0.410, 0.050, 0.233], [0.410, 0.450, 0.733], [0.590, 0.550, 0.267], [0.590, 0.950, 0.767], [0.776, 0.158, 0.089], [0.776, 0.342, 0.589], [0.924, 0.685, 0.070], [0.924, 0.815, 0.570], [0.500, 0.000, 0.500], [0.500, 0.500, 0.000], [0.175, 0.121, 0.724], [0.175, 0.379, 0.224], [0.825, 0.621, 0.776], [0.825, 0.879, 0.276]], "e_tot_ev_per_atom": -5.733, "volume_a3_per_atom": 25.9, "rho_g_cm3": 10.7, "formation_enthalpy_0k_ev_per_atom": -0.466, "dos_ef_per_ev_atom": 0.89, "sg": "P2_1/c"}

=====

8.
{"formula": "Tm4Ag3Ir", "functional": "GGA-PBE", "state": "optimized geometry", "cell": [[3.520, 0.000, 0.000], [0.000, 3.520, 0.000], [0.000, 0.000, 14.281]], "species": ["Tm", "Tm", "Tm", "Tm", "Ag", "Ag", "Ag", "Ir"], "fractional_positions": [[0.000, 0.000, 0.111], [0.000, 0.000, 0.371], [0.000, 0.000, 0.629], [0.000, 0.000, 0.889], [0.500, 0.500, 0.245], [0.500, 0.500, 0.500], [0.500, 0.500, 0.755], [0.500, 0.500, 0.000]], "e_tot_ev_per_atom": -4.908, "volume_a3_per_atom": 22.1, "rho_g_cm3": 11.2, "formation_enthalpy_0k_ev_per_atom": -0.496, "dos_ef_per_ev_atom": 0.73, "sg": "P4/mmm"}

=====

9.
{"formula": "Tm6AgIr5", "functional": "GGA-PBE", "state": "optimized geometry", "cell": [[4.139, -7.296, 0.000], [4.139, 7.296, 0.000], [-2.849, 0.000, 3.936]], "species": ["Tm", "Tm", "Tm", "Tm", "Tm", "Tm", "Ag", "Ir", "Ir", "Ir", "Ir", "Ir"], "fractional_positions": [[0.076, 0.417, 0.746], [0.242, 0.242, 0.242], [0.417, 0.076, 0.746], [0.583, 0.924, 0.254], [0.758, 0.758, 0.758], [0.924, 0.583, 0.254], [0.500, 0.500, 0.000], [0.000, 0.000, 0.500], [0.166, 0.834, 0.000], [0.335, 0.665, 0.500], [0.665, 0.335, 0.500], [0.834, 0.166, 0.000]], "e_tot_ev_per_atom": -7.006, "volume_a3_per_atom": 19.8, "rho_g_cm3": 14.5, "formation_enthalpy_0k_ev_per_atom": -0.841, "dos_ef_per_ev_atom": 0.52, "sg": "C2/m"}

=====

10.
{"formula": "Tm4AgIr", "functional": "GGA-PBE", "state": "optimized geometry", "cell": [[4.835, 0.000, 0.000], [0.000, 4.835, 0.000], [0.000, 0.000, 6.922]], "species": ["Tm", "Tm", "Tm", "Tm", "Ag", "Ir"], "fractional_positions": [[0.000, 0.500, 0.234], [0.000, 0.500, 0.766], [0.500, 0.000, 0.234], [0.500, 0.000, 0.766], [0.000, 0.000, 0.500], [0.500, 0.500, 0.000]], "e_tot_ev_per_atom": -5.312, "volume_a3_per_atom": 27.0, "rho_g_cm3": 10.0, "formation_enthalpy_0k_ev_per_atom": -0.379, "dos_ef_per_ev_atom": 1.00, "relative_energy_ev_per_atom": 0.150, "sg": "P4/mmm"}

=====

11.
{"formula": "Tm7AgIr4", "functional": "GGA-PBE", "state": "optimized geometry", "cell": [[6.826, -2.590, 0.000], [6.826, 2.590, 0.000], [-5.785, 0.000, 7.864]], "species": ["Tm", "Tm", "Tm", "Tm", "Tm", "Tm", "Tm", "Ag", "Ir", "Ir", "Ir", "Ir"], "fractional_positions": [[0.000, 0.000, 0.000], [0.172, 0.172, 0.618], [0.286, 0.286, 0.128], [0.424, 0.424, 0.647], [0.576, 0.576, 0.353], [0.714, 0.714, 0.872], [0.828, 0.828, 0.382], [0.500, 0.500, 0.000], [0.068, 0.068, 0.782], [0.205, 0.205, 0.343], [0.795, 0.795, 0.657], [0.932, 0.932, 0.218]], "e_tot_ev_per_atom": -6.373, "volume_a3_per_atom": 23.2, "rho_g_cm3": 12.3, "formation_enthalpy_0k_ev_per_atom": -0.573, "dos_ef_per_ev_atom": 0.63, "sg": "C2/m"}

=====

12.
{"formula": "Tm5AgIr4", "functional": "GGA-PBE", "state": "optimized geometry", "cell": [[3.380, 0.000, 0.000], [0.000, 3.380, 0.000], [0.000, 0.000, 17.645]], "species": ["Tm", "Tm", "Tm", "Tm", "Tm", "Ag", "Ir", "Ir", "Ir", "Ir"], "fractional_positions": [[0.000, 0.000, 0.000], [0.000, 0.000, 0.192], [0.000, 0.000, 0.383], [0.000, 0.000, 0.617], [0.000, 0.000, 0.808], [0.500, 0.500, 0.500], [0.500, 0.500, 0.097], [0.500, 0.500, 0.292], [0.500, 0.500, 0.708], [0.500, 0.500, 0.903]], "e_tot_ev_per_atom": -6.879, "volume_a3_per_atom": 20.2, "rho_g_cm3": 14.2, "formation_enthalpy_0k_ev_per_atom": -0.813, "dos_ef_per_ev_atom": 0.85, "sg": "P4/mmm"}

=====

13.
{"formula": "Tm3Ag2Ir", "functional": "GGA-PBE", "state": "optimized geometry", "cell": [[4.945, 0.000, 0.000], [-2.473, 4.283, 0.000], [0.000, 0.000, 6.115]], "species": ["Tm", "Tm", "Tm", "Ag", "Ag", "Ir"], "fractional_positions": [[0.000, 0.000, 0.000], [0.333, 0.667, 0.647], [0.667, 0.333, 0.353], [0.333, 0.667, 0.150], [0.667, 0.333, 0.850], [0.000, 0.000, 0.500]], "e_tot_ev_per_atom": -5.225, "volume_a3_per_atom": 21.6, "rho_g_cm3": 11.7, "formation_enthalpy_0k_ev_per_atom": -0.562, "dos_ef_per_ev_atom": 0.78, "sg": "P-3m1"}

=====

14.
{"formula": "Tm3AgIr2", "functional": "GGA-PBE", "state": "optimized geometry", "cell": [[3.401, 0.000, 0.000], [0.000, 3.401, 0.000], [0.000, 0.000, 10.756]], "species": ["Tm", "Tm", "Tm", "Ag", "Ir", "Ir"], "fractional_positions": [[0.000, 0.000, 0.000], [0.000, 0.000, 0.310], [0.000, 0.000, 0.690], [0.500, 0.500, 0.500], [0.500, 0.500, 0.162], [0.500, 0.500, 0.838]], "e_tot_ev_per_atom": -6.413, "volume_a3_per_atom": 20.7, "rho_g_cm3": 13.3, "formation_enthalpy_0k_ev_per_atom": -0.748, "dos_ef_per_ev_atom": 0.84, "relative_energy_ev_per_atom": 0.000, "sg": "P4/mmm"}

=====

15.
{"formula": "Tm4AgIr", "functional": "GGA-PBE", "state": "optimized geometry", "cell": [[0.000, 6.657, 6.657], [6.657, 0.000, 6.657], [6.657, 6.657, 0.000]], "species": ["Tm", "Tm", "Tm", "Tm", "Tm", "Tm", "Tm", "Tm", "Tm", "Tm", "Tm", "Tm", "Tm", "Tm", "Tm", "Tm", "Ag", "Ag", "Ag", "Ag", "Ir", "Ir", "Ir", "Ir"], "fractional_positions": [[0.061, 0.061, 0.439], [0.061, 0.439, 0.061], [0.061, 0.439, 0.439], [0.187, 0.187, 0.813], [0.187, 0.813, 0.187], [0.187, 0.813, 0.813], [0.192, 0.603, 0.603], [0.439, 0.061, 0.061], [0.439, 0.061, 0.439], [0.439, 0.439, 0.061], [0.603, 0.192, 0.603], [0.603, 0.603, 0.192], [0.603, 0.603, 0.603], [0.813, 0.187, 0.187], [0.813, 0.187, 0.813], [0.813, 0.813, 0.187], [0.502, 0.833, 0.833], [0.833, 0.502, 0.833], [0.833, 0.833, 0.502], [0.833, 0.833, 0.833], [0.393, 0.393, 0.393], [0.393, 0.393, 0.821], [0.393, 0.821, 0.393], [0.821, 0.393, 0.393]], "e_tot_ev_per_atom": -5.462, "volume_a3_per_atom": 24.6, "rho_g_cm3": 11.0, "formation_enthalpy_0k_ev_per_atom": -0.529, "dos_ef_per_ev_atom": 1.06, "relative_energy_ev_per_atom": 0.000, "sg": "F-43m"}

=====

16.
{"formula": "Tm4AgIr2", "functional": "GGA-PBE", "state": "optimized geometry", "cell": [[2.416, 1.395, 7.825], [-2.416, 1.395, 7.825], [0.000, -2.790, 7.825]], "species": ["Tm", "Tm", "Tm", "Tm", "Ag", "Ir", "Ir"], "fractional_positions": [[0.120, 0.120, 0.120], [0.371, 0.371, 0.371], [0.629, 0.629, 0.629], [0.880, 0.880, 0.880], [0.500, 0.500, 0.500], [0.249, 0.249, 0.249], [0.751, 0.751, 0.751]], "e_tot_ev_per_atom": -6.210, "volume_a3_per_atom": 22.6, "rho_g_cm3": 12.3, "formation_enthalpy_0k_ev_per_atom": -0.716, "dos_ef_per_ev_atom": 0.68, "relative_energy_ev_per_atom": 0.000, "sg": "R-3m"}

=====

17.
{"formula": "Tm7Ag2Ir2", "functional": "GGA-PBE", "state": "optimized geometry", "cell": [[4.011, -5.288, 0.000], [4.011, 5.288, 0.000], [0.000, 0.000, 6.965]], "species": ["Tm", "Tm", "Tm", "Tm", "Tm", "Tm", "Tm", "Ag", "Ag", "Ir", "Ir"], "fractional_positions": [[0.000, 0.000, 0.000], [0.000, 0.500, 0.254], [0.000, 0.500, 0.746], [0.500, 0.000, 0.254], [0.500, 0.000, 0.746], [0.500, 0.500, 0.247], [0.500, 0.500, 0.753], [0.183, 0.183, 0.500], [0.817, 0.817, 0.500], [0.285, 0.715, 0.000], [0.715, 0.285, 0.000]], "e_tot_ev_per_atom": -5.382, "volume_a3_per_atom": 26.9, "rho_g_cm3": 10.0, "formation_enthalpy_0k_ev_per_atom": -0.407, "dos_ef_per_ev_atom": 0.99, "sg": "Cmmm"}

=====

18.
{"formula": "Tm3AgIr2", "functional": "GGA-PBE", "state": "optimized geometry", "cell": [[4.979, 0.000, 0.000], [0.000, 14.835, 0.000], [0.000, 0.000, 3.307]], "species": ["Tm", "Tm", "Tm", "Tm", "Tm", "Tm", "Ag", "Ag", "Ir", "Ir", "Ir", "Ir"], "fractional_positions": [[0.000, 0.000, 0.000], [0.000, 0.325, 0.000], [0.000, 0.675, 0.000], [0.500, 0.175, 0.000], [0.500, 0.500, 0.000], [0.500, 0.825, 0.000], [0.000, 0.500, 0.500], [0.500, 0.000, 0.500], [0.000, 0.163, 0.500], [0.000, 0.837, 0.500], [0.500, 0.337, 0.500], [0.500, 0.663, 0.500]], "e_tot_ev_per_atom": -6.405, "volume_a3_per_atom": 20.4, "rho_g_cm3": 13.6, "formation_enthalpy_0k_ev_per_atom": -0.740, "dos_ef_per_ev_atom": 0.45, "relative_energy_ev_per_atom": 0.008, "sg": "Cmmm"}

=====

19.
{"formula": "YTmAgIr", "functional": "GGA-PBE", "state": "optimized geometry", "cell": [[6.995, 0.000, 0.000], [0.000, 6.995, 0.000], [0.000, 0.000, 6.995]], "species": ["Y", "Y", "Y", "Y", "Tm", "Tm", "Tm", "Tm", "Ag", "Ag", "Ag", "Ag", "Ir", "Ir", "Ir", "Ir"], "fractional_positions": [[0.000, 0.000, 0.000], [0.000, 0.500, 0.500], [0.500, 0.000, 0.500], [0.500, 0.500, 0.000], [0.000, 0.000, 0.500], [0.000, 0.500, 0.000], [0.500, 0.000, 0.000], [0.500, 0.500, 0.500], [0.250, 0.250, 0.750], [0.250, 0.750, 0.250], [0.750, 0.250, 0.250], [0.750, 0.750, 0.750], [0.250, 0.250, 0.250], [0.250, 0.750, 0.750], [0.750, 0.250, 0.750], [0.750, 0.750, 0.250]], "e_tot_ev_per_atom": -6.283, "volume_a3_per_atom": 21.4, "rho_g_cm3": 10.8, "formation_enthalpy_0k_ev_per_atom": -0.621, "dos_ef_per_ev_atom": 0.76, "sg": "F-43m"}

=====

20.
{"formula": "V2AgIr2", "functional": "GGA-PBE", "state": "optimized geometry", "cell": [[7.503, 0.000, 0.000], [0.000, 7.503, 0.000], [0.000, 0.000, 2.731]], "species": ["V", "V", "V", "V", "Ag", "Ag", "Ir", "Ir", "Ir", "Ir"], "fractional_positions": [[0.147, 0.353, 0.000], [0.353, 0.853, 0.000], [0.647, 0.147, 0.000], [0.853, 0.647, 0.000], [0.000, 0.000, 0.000], [0.500, 0.500, 0.000], [0.144, 0.644, 0.500], [0.356, 0.144, 0.500], [0.644, 0.856, 0.500], [0.856, 0.356, 0.500]], "e_tot_ev_per_atom": -7.936, "volume_a3_per_atom": 15.4, "rho_g_cm3": 12.8, "formation_enthalpy_0k_ev_per_atom": -0.173, "dos_ef_per_ev_atom": 0.72, "relative_energy_ev_per_atom": 0.068, "sg": "P4/mbm"}